(1)
Entry from the Alexandria database: a geometry-optimized Er2TlPb structure (PBE).

Output
ρ: 11.296 Mg/m³

Geometry as CIF:
```
data_Er2TlPb
_space_group_name_H-M_alt 'P 4/m m m'
_space_group_IT_number 123
_space_group_name_Hall '-P 4 2'
_cell_length_a 3.9503
_cell_length_b 3.9503
_cell_length_c 7.0284
_cell_angle_alpha 90.00
_cell_angle_beta 90.00
_cell_angle_gamma 90.00
loop_
_atom_site_label
_atom_site_type_symbol
_atom_site_fract_x
_atom_site_fract_y
_atom_site_fract_z
Er1 Er 0.0000 0.0000 0.2484
Tl1 Tl 0.5000 0.5000 0.0000
Pb1 Pb 0.5000 0.5000 0.5000
```

***

(2)
Entry from the Alexandria database: a geometry-optimized Er10Tl3Pb3 structure (PBE).

Output
ρ: 10.525 Mg/m³

Geometry as CIF:
```
data_Er10Tl3Pb3
_space_group_name_H-M_alt 'P -6 2 m'
_space_group_IT_number 189
_space_group_name_Hall 'P -6 -2'
_cell_length_a 8.9272
_cell_length_b 8.9272
_cell_length_c 6.6458
_cell_angle_alpha 90.00
_cell_angle_beta 90.00
_cell_angle_gamma 120.00
loop_
_atom_site_label
_atom_site_type_symbol
_atom_site_fract_x
_atom_site_fract_y
_atom_site_fract_z
Er1 Er 0.0000 0.2355 0.0000
Er2 Er 0.0000 0.7652 0.5000
Er3 Er 0.3333 0.6667 0.2440
Tl1 Tl 0.0000 0.6019 0.0000
Pb1 Pb 0.0000 0.3989 0.5000
```

***

(3)
Entry from the Alexandria database: a geometry-optimized ErTl2Pb structure (PBE).

Output
ρ: 10.310 Mg/m³

Geometry as CIF:
```
data_ErTl2Pb
_space_group_name_H-M_alt 'R 3 m'
_space_group_IT_number 160
_space_group_name_Hall 'R 3 -2"'
_cell_length_a 5.0274
_cell_length_b 5.0274
_cell_length_c 17.2894
_cell_angle_alpha 90.00
_cell_angle_beta 90.00
_cell_angle_gamma 120.00
loop_
_atom_site_label
_atom_site_type_symbol
_atom_site_fract_x
_atom_site_fract_y
_atom_site_fract_z
Er1 Er 0.0000 0.0000 0.0000
Tl1 Tl 0.0000 0.0000 0.3871
Tl2 Tl 0.0000 0.0000 0.5831
Pb1 Pb 0.0000 0.0000 0.8098
```

***

(4)
Entry from the Alexandria database: a geometry-optimized Er2Tl3Pb3 structure (PBE).

Output
ρ: 11.632 Mg/m³

Geometry as CIF:
```
data_Er2Tl3Pb3
_space_group_name_H-M_alt 'P m m m'
_space_group_IT_number 47
_cell_length_a 4.6606
_cell_length_b 5.0263
_cell_length_c 9.5636
_cell_angle_alpha 90.00
_cell_angle_beta 90.00
_cell_angle_gamma 90.00
loop_
_space_group_symop_operation_xyz
'x,y,z'
'-x,-y,-z'
'-x,-y,z'
'x,y,-z'
'x,-y,-z'
'-x,y,z'
'-x,y,-z'
'x,-y,z'
loop_
_atom_site_label
_atom_site_type_symbol
_atom_site_fract_x
_atom_site_fract_y
_atom_site_fract_z
Er1 Er 0.0000 0.0000 0.2481
Tl1 Tl 0.0000 0.5000 0.0000
Tl2 Tl 0.5000 0.5000 0.2467
Pb1 Pb 0.0000 0.5000 0.5000
Pb2 Pb 0.5000 0.0000 0.0000
Pb3 Pb 0.5000 0.0000 0.5000
```

***

Computed energy of formation from the pure elements (eV per atom) in order:
-0.325 -0.412 0.010 -0.214